This record from Alexandria describes a relaxed structure of Rb2HWCl. The functional is PBE.

It has space group P4/mmm (No. 123), with a = 6.4884 Å, b = 6.4884 Å, c = 3.7336 Å, α = 90.00°, β = 90.00° and γ = 90.00°. The asymmetric unit holds Rb at (0.0000, 0.5000, 0.0000), H at (0.0000, 0.0000, 0.0000), W at (0.5000, 0.5000, 0.5000) and Cl at (0.0000, 0.0000, 0.5000).

The density comes out at 4.133 g/cm3. The calculation puts the density of states at the Fermi level at 0.412 states/eV/atom. For the final energy, the calculation gives -3.07 eV per atom.